#w
Computed, not measured: a relaxed structure of MnH4Pd5 at the PBE-GGA level of DFT.

Unit cell a=2.991 b=5.793 c=6.269 alpha=103.51 beta=103.80 gamma=90.00
Atoms (fractional coordinates):
Mn1 0.500 0.000 0.000
H1 0.314 0.843 0.629
H2 0.005 0.716 0.009
H3 0.686 0.157 0.371
H4 0.995 0.284 0.991
Pd1 0.836 0.670 0.672
Pd2 0.840 0.161 0.680
Pd3 0.160 0.839 0.320
Pd4 0.500 0.500 0.000
Pd5 0.164 0.330 0.328

***

#x
Computed, not measured: a relaxed structure of MnH4Pd5 at the PBE-GGA level of DFT.

Unit cell a=3.948 b=5.660 c=7.731 alpha=122.62 beta=120.64 gamma=45.79
Atoms (fractional coordinates):
Mn1 0.500 0.000 0.000
H1 0.324 0.826 0.648
H2 0.650 0.649 0.299
H3 0.676 0.174 0.352
H4 0.350 0.351 0.701
Pd1 0.840 0.841 0.680
Pd2 0.839 0.339 0.678
Pd3 0.161 0.661 0.322
Pd4 0.500 0.500 0.000
Pd5 0.160 0.159 0.320

***

How do the energies compare? Relative to the most stable structure, in kJ/mol of atoms: #w 3.9; #x 0.0.

***

#w
Computed, not measured: a relaxed structure of MnHPd2Rh at the PBE-GGA level of DFT.

Unit cell a=3.886 b=3.886 c=4.061 alpha=90.00 beta=90.00 gamma=90.00
Atoms (fractional coordinates):
H1 0.000 0.000 0.000
Mn1 0.000 0.000 0.500
Rh1 0.500 0.500 0.500
Pd1 0.000 0.500 0.000
Pd2 0.500 0.000 0.000

***

#x
Computed, not measured: a relaxed structure of MnHPd2Rh at the PBE-GGA level of DFT.

Unit cell a=3.965 b=3.965 c=3.930 alpha=90.00 beta=90.00 gamma=90.00
Atoms (fractional coordinates):
H1 0.000 0.000 0.000
Mn1 0.500 0.500 0.500
Rh1 0.000 0.000 0.500
Pd1 0.000 0.500 0.000
Pd2 0.500 0.000 0.000

***

How do the energies compare? Relative to the most stable structure, in kJ/mol of atoms: #w 7.1; #x 0.0.

***

#w
Computed, not measured: a relaxed structure of Mn2HPdW at the PBE-GGA level of DFT.

Unit cell a=3.821 b=3.821 c=3.843 alpha=90.00 beta=90.00 gamma=90.00
Atoms (fractional coordinates):
H1 0.000 0.000 0.000
Mn1 0.000 0.500 0.000
Mn2 0.500 0.000 0.000
Pd1 0.500 0.500 0.500
W1 0.000 0.000 0.500

***

#x
Computed, not measured: a relaxed structure of Mn2HPdW at the PBE-GGA level of DFT.

Unit cell a=3.898 b=3.898 c=3.711 alpha=90.00 beta=90.00 gamma=90.00
Atoms (fractional coordinates):
H1 0.000 0.000 0.000
Mn1 0.000 0.500 0.000
Mn2 0.500 0.000 0.000
Pd1 0.000 0.000 0.500
W1 0.500 0.500 0.500

***

How do the energies compare? Relative to the most stable structure, in kJ/mol of atoms: #w 0.5; #x 0.0.

***

#w
Computed, not measured: a relaxed structure of PrMnH6 at the PBE-GGA level of DFT.

Unit cell a=5.378 b=5.378 c=5.378 alpha=60.00 beta=60.00 gamma=60.00
Atoms (fractional coordinates):
Pr1 0.500 0.500 0.500
Mn1 0.000 0.000 0.000
H1 0.789 0.789 0.211
H2 0.789 0.211 0.211
H3 0.211 0.789 0.789
H4 0.211 0.211 0.789
H5 0.211 0.789 0.211
H6 0.789 0.211 0.789

***

#x
Computed, not measured: a relaxed structure of PrMnH6 at the PBE-GGA level of DFT.

Unit cell a=4.638 b=4.638 c=4.639 alpha=58.76 beta=58.76 gamma=58.76
Atoms (fractional coordinates):
Pr1 0.000 0.000 0.000
Mn1 0.500 0.500 0.500
H1 0.597 0.597 0.076
H2 0.597 0.076 0.597
H3 0.076 0.597 0.597
H4 0.924 0.403 0.403
H5 0.403 0.924 0.403
H6 0.403 0.403 0.924

***

How do the energies compare? Relative to the most stable structure, in kJ/mol of atoms: #w 23.1; #x 0.0.

***

#w
Computed, not measured: a relaxed structure of MnHPt at the PBE-GGA level of DFT.

Unit cell a=6.248 b=3.762 c=5.159 alpha=90.00 beta=90.00 gamma=90.00
Atoms (fractional coordinates):
H1 0.836 0.250 0.611
H2 0.664 0.750 0.111
H3 0.164 0.750 0.389
H4 0.336 0.250 0.889
Mn1 0.040 0.250 0.885
Mn2 0.460 0.750 0.385
Mn3 0.960 0.750 0.115
Mn4 0.540 0.250 0.615
Pt1 0.163 0.250 0.398
Pt2 0.337 0.750 0.898
Pt3 0.837 0.750 0.602
Pt4 0.663 0.250 0.102

***

#x
Computed, not measured: a relaxed structure of MnHPt at the PBE-GGA level of DFT.

Unit cell a=2.697 b=8.394 c=2.697 alpha=81.01 beta=90.00 gamma=99.29
Atoms (fractional coordinates):
H1 0.481 0.765 0.184
H2 0.981 0.765 0.684
Mn1 0.047 0.895 0.122
Mn2 0.636 0.072 0.536
Pt1 0.251 0.301 0.924
Pt2 0.883 0.565 0.295

***

#y
Computed, not measured: a relaxed structure of MnHPt at the PBE-GGA level of DFT.

Unit cell a=2.804 b=8.342 c=2.834 alpha=80.24 beta=90.01 gamma=91.39
Atoms (fractional coordinates):
H1 0.841 0.883 0.485
H2 0.125 0.662 0.597
Mn1 0.370 0.862 0.995
Mn2 0.881 0.091 0.381
Pt1 0.403 0.302 0.776
Pt2 0.914 0.562 0.147

***

#z
Computed, not measured: a relaxed structure of MnHPt at the PBE-GGA level of DFT.

Unit cell a=2.678 b=8.563 c=2.681 alpha=81.01 beta=90.07 gamma=98.98
Atoms (fractional coordinates):
H1 0.525 0.887 0.317
H2 0.329 0.496 0.013
Mn1 0.036 0.908 0.806
Mn2 0.629 0.095 0.213
Pt1 0.241 0.319 0.601
Pt2 0.411 0.658 0.432

***

How do the energies compare? Relative to the most stable structure, in kJ/mol of atoms: #w 19.1; #x 7.8; #y 0.0; #z 5.0.

***

#w
Computed, not measured: a relaxed structure of MnHPt at the PBE-GGA level of DFT.

Unit cell a=8.871 b=5.170 c=2.811 alpha=90.00 beta=90.00 gamma=90.00
Atoms (fractional coordinates):
H1 0.474 0.250 0.000
H2 0.026 0.750 0.500
H3 0.526 0.750 0.000
H4 0.974 0.250 0.500
Mn1 0.000 0.000 0.000
Mn2 0.500 0.500 0.500
Mn3 0.500 0.000 0.500
Mn4 0.000 0.500 0.000
Pt1 0.266 0.250 0.000
Pt2 0.234 0.750 0.500
Pt3 0.734 0.750 0.000
Pt4 0.766 0.250 0.500

***

#x
Computed, not measured: a relaxed structure of MnHPt at the PBE-GGA level of DFT.

Unit cell a=2.991 b=3.750 c=3.750 alpha=120.00 beta=90.00 gamma=90.00
Atoms (fractional coordinates):
H1 0.167 0.667 0.333
Mn1 0.666 0.333 0.667
Pt1 0.167 0.000 0.000

***

How do the energies compare? Relative to the most stable structure, in kJ/mol of atoms: #w 0.0; #x 14.4.